Record 1
# PuVZnRu

A relaxed structure of PuVZnRu (PBE, the Alexandria database).

Unit cell a=4.508 b=4.508 c=4.508 alpha=60.00 beta=60.00 gamma=60.00
Each line ends with the local moment (μB).
Positions (direct):
V  0.750  0.750  0.750  1.06
Zn  0.000  0.000  0.000  -0.01
Ru  0.250  0.250  0.250  -0.41
Pu  0.500  0.500  0.500  4.74

Properties
**M_tot**: 5.55 μB per formula unit
**Energy of formation from the pure elements**: 5 meV/atom
**E**: -8.4952 eV per atom
**Space group**: F-43m, No. 216

Record 2
# PuRu2W

A relaxed structure of PuRu2W (PBE, the Alexandria database).

Unit cell a=3.055 b=3.055 c=7.411 alpha=90.00 beta=90.00 gamma=90.00
Each line ends with the local moment (μB).
Positions (direct):
Ru  0.000  0.000  0.792  -0.29
Ru  0.000  0.000  0.208  -0.29
Pu  0.500  0.500  0.500  4.95
W  0.500  0.500  0.000  -0.10

Properties
**M_tot**: 4.36 μB per formula unit
**Energy of formation from the pure elements**: 18 meV/atom
**E**: -11.4410 eV per atom
**Space group**: P4/mmm, No. 123

Record 3
# YPu2Ru

A relaxed structure of YPu2Ru (PBE, the Alexandria database).

Unit cell a=3.767 b=3.767 c=9.035 alpha=77.97 beta=77.97 gamma=60.00
Each line ends with the local moment (μB).
Positions (direct):
Y  0.500  0.500  0.500  0.32
Pu  0.728  0.728  0.816  5.20
Pu  0.272  0.272  0.184  5.20
Ru  0.000  0.000  0.000  -0.59

Properties
**M_tot**: 11.11 μB per formula unit
**Energy of formation from the pure elements**: 124 meV/atom
**E**: -10.9766 eV per atom
**Space group**: R-3m, No. 166

Record 4
# YPu2Ru2

A relaxed structure of YPu2Ru2 (PBE, the Alexandria database).

Unit cell a=8.110 b=8.110 c=4.341 alpha=105.51 beta=105.51 gamma=108.63
Each line ends with the local moment (μB).
Positions (direct):
Pu  0.404  0.695  0.049  5.08
Pu  0.195  0.904  0.549  5.08
Pu  0.596  0.305  0.951  5.08
Pu  0.805  0.096  0.451  5.08
Y  0.800  0.700  0.750  0.15
Y  0.200  0.300  0.250  0.15
Ru  0.419  0.081  0.250  -0.58
Ru  0.052  0.448  0.750  -0.49
Ru  0.948  0.552  0.250  -0.49
Ru  0.581  0.919  0.750  -0.58

Properties
**M_tot**: 10.03 μB per formula unit
**Energy of formation from the pure elements**: -22 meV/atom
**E**: -10.7584 eV per atom
**Relative energy among the computed polymorphs**: 0.1035 eV/atom
**Space group**: Imma, No. 74

Record 5
# YPu3Ru2

A relaxed structure of YPu3Ru2 (PBE, the Alexandria database).

Unit cell a=4.157 b=7.036 c=9.074 alpha=90.00 beta=90.00 gamma=90.00
Each line ends with the local moment (μB).
Positions (direct):
Pu  0.500  0.213  0.824  -4.67
Pu  0.000  0.455  0.932  4.80
Pu  0.000  0.365  0.287  4.94
Pu  0.000  0.865  0.713  4.94
Pu  0.000  0.955  0.068  4.80
Pu  0.500  0.713  0.176  -4.67
Ru  0.000  0.729  0.378  -0.01
Ru  0.000  0.229  0.622  -0.01
Ru  0.500  0.711  0.863  -0.39
Ru  0.500  0.211  0.137  -0.39
Y  0.500  0.028  0.439  0.04
Y  0.500  0.528  0.561  0.04

Properties
**M_tot**: 5.05 μB per formula unit
**Energy of formation from the pure elements**: -76 meV/atom
**E**: -11.4116 eV per atom
**Relative energy among the computed polymorphs**: 0.0000 eV/atom
**Space group**: Pmc2_1, No. 26

Record 6
# Y2PuRu

A relaxed structure of Y2PuRu (PBE, the Alexandria database).

Unit cell a=3.411 b=3.411 c=8.802 alpha=90.00 beta=90.00 gamma=90.00
Each line ends with the local moment (μB).
Positions (direct):
Y  0.000  0.000  0.811  0.10
Y  0.000  0.000  0.189  0.10
Ru  0.500  0.500  0.000  0.08
Pu  0.500  0.500  0.500  5.80

Properties
**M_tot**: 6.92 μB per formula unit
**Energy of formation from the pure elements**: -114 meV/atom
**E**: -9.2477 eV per atom
**Relative energy among the computed polymorphs**: 0.1098 eV/atom
**Space group**: P4/mmm, No. 123

Record 7
# Y2Pu3Ru4

A relaxed structure of Y2Pu3Ru4 (PBE, the Alexandria database).

Unit cell a=6.069 b=7.557 c=8.752 alpha=90.00 beta=110.29 gamma=90.00
Each line ends with the local moment (μB).
Positions (direct):
Ru  0.183  0.750  0.867  -0.45
Ru  0.341  0.470  0.683  -0.51
Ru  0.317  0.250  0.133  -0.45
Ru  0.683  0.750  0.867  -0.45
Ru  0.817  0.250  0.133  -0.45
Ru  0.159  0.970  0.317  -0.51
Ru  0.659  0.530  0.317  -0.51
Ru  0.841  0.030  0.683  -0.51
Y  0.096  0.598  0.192  0.12
Y  0.596  0.902  0.192  0.12
Y  0.904  0.402  0.808  0.12
Y  0.404  0.098  0.808  0.12
Pu  0.500  0.500  0.000  4.48
Pu  0.478  0.250  0.455  5.07
Pu  0.522  0.750  0.545  5.07
Pu  0.978  0.250  0.455  5.07
Pu  0.000  0.000  0.000  4.48
Pu  0.022  0.750  0.545  5.07

Properties
**M_tot**: 13.63 μB per formula unit
**Energy of formation from the pure elements**: -234 meV/atom
**E**: -10.5708 eV per atom
**Space group**: Cmce, No. 64

Record 8
# YPu5Ru6

A relaxed structure of YPu5Ru6 (PBE, the Alexandria database).

Unit cell a=4.677 b=6.774 c=7.711 alpha=90.00 beta=107.53 gamma=90.00
Each line ends with the local moment (μB).
Positions (direct):
Pu  0.000  0.500  0.000  4.63
Pu  0.665  0.500  0.329  -4.74
Pu  0.334  0.000  0.668  -4.83
Pu  0.666  0.000  0.332  -4.83
Pu  0.335  0.500  0.671  -4.74
Ru  0.826  0.752  0.654  0.58
Ru  0.500  0.732  0.000  0.11
Ru  0.500  0.268  0.000  0.11
Ru  0.174  0.248  0.346  0.58
Ru  0.826  0.248  0.654  0.58
Ru  0.174  0.752  0.346  0.58
Y  0.000  0.000  0.000  -0.08

Properties
**M_tot**: 12.59 μB per formula unit
**Energy of formation from the pure elements**: -133 meV/atom
**E**: -11.2810 eV per atom
**Space group**: P2/m, No. 10

Please write out number 4 again, unchanged.
# YPu2Ru2

A relaxed structure of YPu2Ru2 (PBE, the Alexandria database).

Unit cell a=8.110 b=8.110 c=4.341 alpha=105.51 beta=105.51 gamma=108.63
Each line ends with the local moment (μB).
Positions (direct):
Pu  0.404  0.695  0.049  5.08
Pu  0.195  0.904  0.549  5.08
Pu  0.596  0.305  0.951  5.08
Pu  0.805  0.096  0.451  5.08
Y  0.800  0.700  0.750  0.15
Y  0.200  0.300  0.250  0.15
Ru  0.419  0.081  0.250  -0.58
Ru  0.052  0.448  0.750  -0.49
Ru  0.948  0.552  0.250  -0.49
Ru  0.581  0.919  0.750  -0.58

Properties
**M_tot**: 10.03 μB per formula unit
**Energy of formation from the pure elements**: -22 meV/atom
**E**: -10.7584 eV per atom
**Relative energy among the computed polymorphs**: 0.1035 eV/atom
**Space group**: Imma, No. 74